Entry 1:
Compound: MnTlCu2
Source: Alexandria via LeMat-Bulk
Functional: PBE-GGA
Structure: optimized geometry

As for the energy above the most stable polymorph in this dataset: 0.023 eV per atom.

The structure belongs to space group Fm-3m (No. 225); the cell edges are 6.292, 6.292 and 6.292 Å and the angles 90.00°, 90.00° and 90.00°. Symmetry generates all atoms from Mn at (0.000, 0.000, 0.000), Tl at (0.000, 0.000, 0.500) and Cu at (0.250, 0.250, 0.250).

---

Entry 2:
Compound: MnTlCu2
Source: Alexandria via LeMat-Bulk
Functional: PBE-GGA
Structure: optimized geometry

As for the energy above the most stable polymorph in this dataset: 0.000 eV per atom.

The structure belongs to space group P4/mmm (No. 123); the cell edges are 3.230, 3.230 and 6.239 Å and the angles 90.00°, 90.00° and 90.00°. Symmetry generates all atoms from Mn at (0.000, 0.000, 0.000), Tl at (0.000, 0.000, 0.500) and Cu at (0.500, 0.500, 0.203).

---

Entry 3:
Compound: MnTl2Cu
Source: Alexandria via LeMat-Bulk
Functional: PBE-GGA
Structure: optimized geometry

As for the energy above the most stable polymorph in this dataset: 0.140 eV per atom.

The structure belongs to space group Fm-3m (No. 225); the cell edges are 6.879, 6.879 and 6.879 Å and the angles 90.00°, 90.00° and 90.00°. Symmetry generates all atoms from Mn at (0.000, 0.000, 0.000), Tl at (0.250, 0.250, 0.250) and Cu at (0.000, 0.000, 0.500).

---

Entry 4:
Compound: Mn2TlCu2
Source: Alexandria via LeMat-Bulk
Functional: PBE-GGA
Structure: optimized geometry

The structure belongs to space group P4/mbm (No. 127); the cell edges are 7.137, 7.137 and 3.081 Å and the angles 90.00°, 90.00° and 90.00°. Symmetry generates all atoms from Mn at (0.163, 0.337, 0.000), Tl at (0.000, 0.000, 0.500) and Cu at (0.126, 0.626, 0.500).

---

Entry 5:
Compound: MnTl2Cu
Source: Alexandria via LeMat-Bulk
Functional: PBE-GGA
Structure: optimized geometry

As for the energy above the most stable polymorph in this dataset: 0.083 eV per atom.

The structure belongs to space group Pm (No. 6); the cell edges are 3.614, 4.413 and 5.426 Å and the angles 90.00°, 106.00° and 90.00°. Symmetry generates all atoms from Mn at (0.000, 0.000, 0.000), Tl at (0.310, 0.000, 0.553), Tl at (0.575, 0.500, 0.161) and Cu at (0.877, 0.500, 0.718).

---

Entry 6:
Compound: MnTlCu
Source: Alexandria via LeMat-Bulk
Functional: PBE-GGA
Structure: optimized geometry

The structure belongs to space group I4mm (No. 107); the cell edges are 3.185, 3.185 and 10.386 Å and the angles 90.00°, 90.00° and 90.00°. Symmetry generates all atoms from Mn at (0.000, 0.000, 0.000), Tl at (0.000, 0.000, 0.306) and Cu at (0.000, 0.000, 0.626).

---

Entry 7:
Compound: MnTlCu2
Source: Alexandria via LeMat-Bulk
Functional: PBE-GGA
Structure: optimized geometry

As for the energy above the most stable polymorph in this dataset: 0.064 eV per atom.

The structure belongs to space group Pm (No. 6); the cell edges are 3.023, 4.200 and 5.347 Å and the angles 90.00°, 106.03° and 90.00°. Symmetry generates all atoms from Mn at (0.000, 0.000, 0.000), Tl at (0.677, 0.500, 0.352), Cu at (0.290, 0.000, 0.577) and Cu at (0.418, 0.500, 0.834).

---

Entry 8:
Compound: MnTl2Cu
Source: Alexandria via LeMat-Bulk
Functional: PBE-GGA
Structure: optimized geometry

As for the energy above the most stable polymorph in this dataset: 0.177 eV per atom.

The structure belongs to space group P2/m (No. 10); the cell edges are 3.219, 4.341 and 6.056 Å and the angles 90.00°, 99.79° and 90.00°. Symmetry generates all atoms from Mn at (0.000, 0.000, 0.000), Tl at (0.315, 0.500, 0.745) and Cu at (0.500, 0.000, 0.500).

---

The calculation returns the following ΔH_f (0 K) values, one per record and in order: 288 265 454 290 397 386 329 491 meV per atom.
The calculation returns the following spin magnetization values, one per record and in order: 3.86 4.18 4.04 7.73 3.76 3.82 4.00 3.95 μB/f.u..